First-principles (GGA+U) data for a relaxed structure of ScNiPO2, as listed in Alexandria via LeMat-Bulk.

Lattice parameters (Å, degrees): 3.776 3.776 4.424 90.00 90.00 90.00
Atoms (fractional coordinates):
Sc 0.000 0.000 0.000
Ni 0.500 0.500 0.500
P 0.500 0.500 0.000
O 0.000 0.500 0.500
O 0.500 0.000 0.500

M_tot, μB per formula unit: 0.266
Polymorph energy (0 for the lowest one), meV/atom: 0
Density of states at the Fermi level, states/eV per atom: 0.400